## Te2OsCl (SCAN)

Data for a crystal of Te2OsCl relaxed with PBEsol.

It has space group P4/mmm (No. 123), with a = 3.1865 Å, b = 3.1865 Å, c = 8.0633 Å, α = 90.00°, β = 90.00° and γ = 90.00°. Symmetry generates all atoms from Te at (0.0000, 0.0000, 0.2137), Os at (0.5000, 0.5000, 0.0000) and Cl at (0.5000, 0.5000, 0.5000).

The energy relative to the elements, uncorrected is 214 meV per atom. For the final energy, the calculation gives -38.38 eV/atom. Its crystal system is tetragonal. Its volume is 82 Å³ per cell.